Record 1
Density functional theory data (PBE) for crystalline LaTb6Mg at its relaxed geometry.

The structure belongs to space group C2/m (No. 12); the cell edges are 11.2086, 5.0540 and 9.9222 Å and the angles 90.00°, 116.16° and 90.00°. The asymmetric unit holds La at (0.0000, 0.0000, 0.0000), Tb at (0.0036, 0.5000, 0.7474), Tb at (0.2437, 0.0000, 0.3783), Tb at (0.2488, 0.0000, 0.8690) and Mg at (0.0000, 0.0000, 0.5000).

For the excess energy over the best structure of this formula in the dataset, the calculation gives 0 meV/atom. The calculation puts the energy relative to the elements at 0.03 eV per atom.

***

Record 2
Density functional theory data (PBE) for crystalline La2Tb3Mg3 at its relaxed geometry.

The structure belongs to space group Immm (No. 71); the cell edges are 3.8624, 5.4749 and 22.8559 Å and the angles 90.00°, 90.00° and 90.00°. The asymmetric unit holds La at (0.0000, 0.0000, 0.2329), Tb at (0.0000, 0.0000, 0.0000), Tb at (0.0000, 0.5000, 0.1202), Mg at (0.0000, 0.0000, 0.5000) and Mg at (0.0000, 0.5000, 0.3875).

The calculation puts the energy relative to the elements at -0.04 eV per atom.

***

Record 3
Density functional theory data (PBE) for crystalline LaTb7Mg4 at its relaxed geometry.

The structure belongs to space group C2/m (No. 12); the cell edges are 13.6055, 5.7661 and 11.4602 Å and the angles 90.00°, 123.80° and 90.00°. The asymmetric unit holds La at (0.0000, 0.0000, 0.0000), Tb at (0.0000, 0.5000, 0.0000), Tb at (0.0568, 0.0000, 0.3833), Tb at (0.1713, 0.5000, 0.6090), Tb at (0.2200, 0.0000, 0.8793), Mg at (0.0665, 0.5000, 0.7846) and Mg at (0.1866, 0.5000, 0.3330).

The calculation puts the energy relative to the elements at 0.21 eV per atom.

***

Record 4
Density functional theory data (PBE) for crystalline LaTb2Mg6 at its relaxed geometry.

The structure belongs to space group P6/mmm (No. 191); the cell edges are 9.1580, 9.1580 and 3.3396 Å and the angles 90.00°, 90.00° and 120.00°. The asymmetric unit holds La at (0.0000, 0.0000, 0.0000), Tb at (0.3333, 0.6667, 0.0000) and Mg at (0.0000, 0.3372, 0.5000).

The calculation puts the energy relative to the elements at -0.08 eV per atom.

***

Record 5
Density functional theory data (PBE) for crystalline LaTb5Mg6 at its relaxed geometry.

The structure belongs to space group P2/m (No. 10); the cell edges are 5.4113, 7.6451 and 8.5556 Å and the angles 90.00°, 108.37° and 90.00°. The asymmetric unit holds La at (0.0000, 0.0000, 0.0000), Tb at (0.0000, 0.5000, 0.0000), Tb at (0.3319, 0.0000, 0.6634), Tb at (0.3355, 0.5000, 0.6706), Mg at (0.1686, 0.2553, 0.3377) and Mg at (0.5000, 0.2549, 0.0000).

The calculation puts the energy relative to the elements at -0.09 eV per atom.

***

Record 6
Density functional theory data (PBE) for crystalline La12Tb7Mg at its relaxed geometry.

The structure belongs to space group R-3 (No. 148, hexagonal axes); the cell edges are 19.7101, 19.7101 and 6.3154 Å and the angles 90.00°, 90.00° and 120.00°. The asymmetric unit holds La at (0.0000, 0.4090, 0.4991), La at (0.0988, 0.5491, 0.9761), Tb at (0.0000, 0.0000, 0.5000), Tb at (0.0808, 0.1619, 0.8097) and Mg at (0.0000, 0.0000, 0.0000).

The calculation puts the energy relative to the elements at 0.15 eV per atom.

***

Record 7
Density functional theory data (PBE) for crystalline La2TbMg4 at its relaxed geometry.

The structure belongs to space group R-3m (No. 166, hexagonal axes); the cell edges are 5.4393, 5.4393 and 23.8644 Å and the angles 90.00°, 90.00° and 120.00°. The asymmetric unit holds La at (0.0000, 0.0000, 0.2154), Tb at (0.0000, 0.0000, 0.5000), Mg at (0.0000, 0.0000, 0.0675) and Mg at (0.0000, 0.0000, 0.3633).

The calculation puts the energy relative to the elements at 0.04 eV per atom.

***

Record 8
Density functional theory data (PBE) for crystalline La6Tb4Mg at its relaxed geometry.

The structure belongs to space group I-42m (No. 121); the cell edges are 6.6769, 6.6769 and 16.6527 Å and the angles 90.00°, 90.00° and 90.00°. The asymmetric unit holds La at (0.0000, 0.5000, 0.0000), La at (0.1605, 0.1605, 0.1192), Tb at (0.1791, 0.1791, 0.3182) and Mg at (0.0000, 0.0000, 0.5000).

The calculation puts the energy relative to the elements at 0.22 eV per atom.

***

Record 9
Density functional theory data (PBE) for crystalline La6TbMg at its relaxed geometry.

The structure belongs to space group P4/mmm (No. 123); the cell edges are 5.1733, 5.1733 and 10.3343 Å and the angles 90.00°, 90.00° and 90.00°. The asymmetric unit holds La at (0.0000, 0.0000, 0.0000), La at (0.0000, 0.0000, 0.5000), La at (0.0000, 0.5000, 0.2485), Tb at (0.5000, 0.5000, 0.5000) and Mg at (0.5000, 0.5000, 0.0000).

The calculation puts the energy relative to the elements at -0.01 eV per atom.

***

Record 10
Density functional theory data (PBE) for crystalline LaTb3Mg4 at its relaxed geometry.

The structure belongs to space group Pmma (No. 51); the cell edges are 10.8423, 7.6990 and 5.4224 Å and the angles 90.00°, 90.00° and 90.00°. The asymmetric unit holds La at (0.0000, 0.0000, 0.0000), Tb at (0.0000, 0.5000, 0.0000), Tb at (0.2500, 0.0000, 0.4992), Tb at (0.2500, 0.5000, 0.4992), Mg at (0.0000, 0.2570, 0.5000) and Mg at (0.2500, 0.2570, 0.9991).

The calculation puts the energy relative to the elements at -0.09 eV per atom.

***

Record 11
Density functional theory data (PBE) for crystalline LaTb3Mg at its relaxed geometry.

The structure belongs to space group P-1 (No. 2); the cell edges are 3.7389, 6.8728 and 12.8103 Å and the angles 86.47°, 89.97° and 74.23°. The asymmetric unit holds La at (0.2353, 0.0285, 0.2563), Tb at (0.0361, 0.4269, 0.6873), Tb at (0.1493, 0.2021, 0.9455), Tb at (0.3674, 0.7661, 0.5241) and Mg at (0.4481, 0.6032, 0.8756).

For the excess energy over the best structure of this formula in the dataset, the calculation gives 0 meV/atom. The calculation puts the energy relative to the elements at -0.01 eV per atom.

***

Record 12
Density functional theory data (PBE) for crystalline La2TbMgTe5 at its relaxed geometry.

The structure belongs to space group Cmc2_1 (No. 36); the cell edges are 4.4296, 19.1671 and 13.5772 Å and the angles 90.00°, 90.00° and 90.00°. The asymmetric unit holds La at (0.0000, 0.1131, 0.0000), La at (0.0000, 0.1319, 0.6233), Tb at (0.0000, 0.2036, 0.3292), Mg at (0.0000, 0.4450, 0.7701), Te at (0.0000, 0.0483, 0.3871), Te at (0.0000, 0.2854, 0.9871), Te at (0.0000, 0.3112, 0.6670), Te at (0.0000, 0.3634, 0.3163) and Te at (0.0000, 0.4957, 0.0896).

The value obtained for the energy relative to the elements, uncorrected is -1.356 eV per atom.